No. 1
Density functional theory data (PBE-GGA) for a relaxed structure of AcLaMgPb.

Computed properties:
Formation energy from the elements   -0.31 eV per atom
Uncorrected energy   -3.8983 eV/atom
Symmetry   No. 216

a b c (Å): 8.1113 8.1113 8.1113
angles (deg): 90.00 90.00 90.00
Last column: nearest neighbours and their distance in Å.
Atoms (fractional coordinates):
Ac1 0.0000 0.0000 0.0000  4 Pb 3.51, 4 Mg 3.51
Ac2 0.0000 0.5000 0.5000  4 Pb 3.51, 4 Mg 3.51
Ac3 0.5000 0.0000 0.5000  4 Pb 3.51, 4 Mg 3.51
Ac4 0.5000 0.5000 0.0000  4 Pb 3.51, 4 Mg 3.51
La1 0.0000 0.0000 0.5000  4 Pb 3.51, 4 Mg 3.51
La2 0.0000 0.5000 0.0000  4 Pb 3.51, 4 Mg 3.51
La3 0.5000 0.0000 0.0000  4 Pb 3.51, 4 Mg 3.51
La4 0.5000 0.5000 0.5000  4 Pb 3.51, 4 Mg 3.51
Mg1 0.2500 0.2500 0.2500  4 Ac 3.51, 4 La 3.51
Mg2 0.2500 0.7500 0.7500  4 Ac 3.51, 4 La 3.51
Mg3 0.7500 0.2500 0.7500  4 Ac 3.51, 4 La 3.51
Mg4 0.7500 0.7500 0.2500  4 Ac 3.51, 4 La 3.51
Pb1 0.2500 0.2500 0.7500  4 Ac 3.51, 4 La 3.51
Pb2 0.2500 0.7500 0.2500  4 Ac 3.51, 4 La 3.51
Pb3 0.7500 0.2500 0.2500  4 Ac 3.51, 4 La 3.51
Pb4 0.7500 0.7500 0.7500  4 La 3.51, 4 Ac 3.51

---

No. 2
Density functional theory data (PBE-GGA) for a relaxed structure of La2Ag2Mo.

Computed properties:
Formation energy from the elements   0.50 eV per atom
Uncorrected energy   -4.7785 eV/atom
Symmetry   No. 139

a b c (Å): 5.9121 5.9121 8.1484
angles (deg): 90.00 90.00 90.00
Last column: nearest neighbours and their distance in Å.
Atoms (fractional coordinates):
La1 0.0000 0.5000 0.2500  4 Ag 3.05
La2 0.0000 0.5000 0.7500  4 Ag 3.05
La3 0.5000 0.0000 0.2500  4 Ag 3.05
La4 0.5000 0.0000 0.7500  4 Ag 3.05
Ag1 0.0000 0.0000 0.1575  1 Ag 2.57, 1 Mo 2.79
Ag2 0.0000 0.0000 0.8425  1 Ag 2.57, 1 Mo 2.79
Ag3 0.5000 0.5000 0.3425  1 Ag 2.57, 1 Mo 2.79
Ag4 0.5000 0.5000 0.6575  1 Ag 2.57, 1 Mo 2.79
Mo1 0.0000 0.0000 0.5000  2 Ag 2.79
Mo2 0.5000 0.5000 0.0000  2 Ag 2.79

---

No. 3
Density functional theory data (PBE-GGA) for a relaxed structure of WBr2Cl.

Computed properties:
Formation energy from raw total energies   1.16 eV per atom
Uncorrected energy   -3.3738 eV/atom
Symmetry   No. 47

a b c (Å): 3.2091 4.5741 7.0083
angles (deg): 90.00 90.00 90.00
Last column: nearest neighbours and their distance in Å.
Atoms (fractional coordinates):
W1 0.0000 0.0000 0.0000  4 Cl 2.79
Br1 0.0000 0.5000 0.5000  4 Br 2.79
Br2 0.5000 0.0000 0.5000  4 Br 2.79
Cl1 0.5000 0.5000 0.0000  4 W 2.79

---

Question: Which formula does entry 3 have?
Answer: WBr2Cl